Record 1
A plane-wave DFT calculation with PBE was carried out for a geometry-optimized HoCuRh2 structure.

Geometry as POSCAR:
```
HoCuRh2
1.0
-1.7678 2.1333 1.7695
-2.0109 -2.4316 0.9224
3.5180 -1.0815 4.8185
Rh Cu Ho
2 1 1
Direct
0.0000 0.0000 0.2785
0.0000 0.0000 0.7215
0.5000 0.5000 0.5000
0.5000 0.5000 0.0000
```

Output
For the density of states at the Fermi level, the calculation gives 4.03 states/eV/f.u. The value obtained for the formation energy is -0.38 eV per atom. The calculated density comes out at 11.01 g/cm3. The calculation puts the total magnetic moment at 0.0 μB/f.u. As for the crystal system: tetragonal.


Record 2
A plane-wave DFT calculation with PBE was carried out for a geometry-optimized ZrSi2As structure.

Geometry as POSCAR:
```
ZrSi2As
1.0
4.5257 0.0000 0.0000
0.0000 4.5257 0.0000
0.0000 0.0000 3.4407
Zr Si As
1 2 1
Direct
0.5000 0.0000 0.5000
0.5000 0.5000 0.0000
0.0000 0.0000 0.0000
0.0000 0.5000 0.5000
```

Output
Its electronic total energy is -24.33 eV for the cell shown. For the density of states at the Fermi level, the calculation gives 2.42 states/eV/f.u. The calculated density comes out at 5.24 g/cm3. The calculation puts the total magnetic moment at 0.0 μB/f.u. As for the crystal system: tetragonal.


Record 3
A plane-wave DFT calculation with PBE was carried out for a geometry-optimized SrMoPd structure.

Geometry as POSCAR:
```
SrMoPd
1.0
11.7395 0.0000 0.0000
0.0000 5.1147 0.0000
0.0000 0.0000 4.6253
Mo Pd Sr
4 4 4
Direct
0.5000 0.0000 0.5000
0.0000 0.0000 0.0000
0.5000 0.5000 0.5000
0.0000 0.5000 0.0000
0.9388 0.2500 0.5000
0.4388 0.2500 0.0000
0.0612 0.7500 0.5000
0.5612 0.7500 0.0000
0.7899 0.7500 0.5004
0.7101 0.2500 0.0004
0.2899 0.7500 0.9996
0.2101 0.2500 0.4996
```

Output
For the density of states at the Fermi level, the calculation gives 2.73 states/eV/f.u. The value obtained for the formation energy is 0.11 eV per atom. The calculated density comes out at 6.94 g/cm3. The calculation puts the total magnetic moment at 0.0 μB/f.u. As for the crystal system: orthorhombic.


Record 4
A plane-wave DFT calculation with PBE was carried out for a geometry-optimized In2ReRuW structure.

Geometry as POSCAR:
```
In2ReRuW
1.0
5.2099 0.0000 0.0000
0.0000 4.6045 0.0000
0.0000 0.0000 5.2099
Re In W Ru
1 2 1 1
Direct
0.5000 0.5000 0.5000
0.5000 0.0000 0.0000
0.0000 0.0000 0.5000
0.0000 0.0000 0.0000
0.0000 0.5000 0.0000
```

Output
For the density of states at the Fermi level, the calculation gives 4.67 states/eV/f.u. The value obtained for the formation energy is 2.05 eV per atom. The calculated density comes out at 9.31 g/cm3. The calculation puts the total magnetic moment at 3.8 μB/f.u. As for the crystal system: tetragonal.


Record 5
A plane-wave DFT calculation with PBE was carried out for a geometry-optimized ErP2Ir structure.

Geometry as POSCAR:
```
ErP2Ir
1.0
-1.3164 2.1829 -2.8901
1.2835 -0.5747 -3.5879
-3.9649 -2.9763 -3.0112
Er P Ir
1 2 1
Direct
0.5000 0.5000 0.5000
0.7305 0.7305 0.8085
0.2695 0.2695 0.1915
0.0000 0.0000 0.0000
```

Output
For the density of states at the Fermi level, the calculation gives 0.54 states/eV/f.u. The value obtained for the formation energy is -0.98 eV per atom. The calculated density comes out at 10.16 g/cm3. The calculation puts the total magnetic moment at 0.0 μB/f.u. As for the crystal system: trigonal.


Record 6
A plane-wave DFT calculation with PBE was carried out for a geometry-optimized NaBi5S8 structure.

Geometry as POSCAR:
```
NaBi5S8
1.0
-5.3807 -6.1595 -1.7308
1.3415 -7.6875 2.9983
-4.9298 -3.0581 6.0194
S Bi Na
8 5 1
Direct
0.3862 0.8413 0.3862
0.8681 0.8681 0.8681
0.3862 0.3862 0.8413
0.8681 0.3957 0.8681
0.8413 0.3862 0.3862
0.8681 0.8681 0.3957
0.3957 0.8681 0.8681
0.3862 0.3862 0.3862
0.1382 0.6206 0.6206
0.0000 0.0000 0.0000
0.6206 0.1382 0.6206
0.6206 0.6206 0.6206
0.6206 0.6206 0.1382
0.2500 0.2500 0.2500
```

Output
Its electronic total energy is -59.98 eV for the cell shown. For the density of states at the Fermi level, the calculation gives 0.00 states/eV/f.u. The calculated density comes out at 5.32 g/cm3. The calculation puts the total magnetic moment at 0.0 μB/f.u. As for the crystal system: cubic.


Record 7
A plane-wave DFT calculation with PBE was carried out for a geometry-optimized MnAlSb structure.

Geometry as POSCAR:
```
MnAlSb
1.0
-3.6145 1.8557 2.6225
-4.3481 0.6239 -2.0225
3.3368 -3.4777 0.3960
Sb Mn Al
1 1 1
Direct
0.6728 0.6728 0.0000
0.3352 0.3352 0.0000
0.9921 0.9921 0.0000
```

Output
Its electronic total energy is -16.70 eV for the cell shown. For the density of states at the Fermi level, the calculation gives 1.97 states/eV/f.u. The calculated density comes out at 6.85 g/cm3. The calculation puts the total magnetic moment at 1.5 μB/f.u. As for the crystal system: tetragonal.


Record 8
A plane-wave DFT calculation with PBE was carried out for a geometry-optimized AcPr3Mg4 structure.

Geometry as POSCAR:
```
AcPr3Mg4
1.0
3.9801 0.0000 0.0000
0.0000 5.6012 0.0000
0.0000 0.0000 11.1821
Pr Ac Mg
3 1 4
Direct
0.5000 0.0000 0.2517
0.5000 0.0000 0.7483
0.5000 0.5000 0.5000
0.5000 0.5000 0.0000
0.0000 0.0000 0.0000
0.0000 0.5000 0.7409
0.0000 0.0000 0.5000
0.0000 0.5000 0.2591
```

Output
For the density of states at the Fermi level, the calculation gives 8.07 states/eV/f.u. The value obtained for the formation energy is -0.10 eV per atom. The calculated density comes out at 4.98 g/cm3. The calculation puts the total magnetic moment at 0.0 μB/f.u. As for the crystal system: orthorhombic.


Record 9
A plane-wave DFT calculation with PBE was carried out for a geometry-optimized ZrScZnCd structure.

Geometry as POSCAR:
```
ZrScZnCd
1.0
-4.0958 -0.6067 2.5648
0.1365 -2.2746 4.3046
-0.6960 2.5202 4.1093
Zn Zr Cd Sc
1 1 1 1
Direct
0.2500 0.2500 0.2500
0.5000 0.5000 0.5000
0.7500 0.7500 0.7500
0.0000 0.0000 0.0000
```

Output
For the density of states at the Fermi level, the calculation gives 4.90 states/eV/f.u. The value obtained for the formation energy is -0.20 eV per atom. The calculated density comes out at 6.38 g/cm3. The calculation puts the total magnetic moment at 0.0 μB/f.u. As for the crystal system: cubic.


Record 10
A plane-wave DFT calculation with PBE was carried out for a geometry-optimized Na2VSb4 structure.

Geometry as POSCAR:
```
Na2VSb4
1.0
-4.5162 0.0042 2.4503
0.7385 -4.8969 1.3694
1.7546 -0.0202 8.6210
Sb V Na
4 1 2
Direct
0.5000 0.0000 0.0000
0.0000 0.5000 0.0000
0.1657 0.1657 0.6686
0.8343 0.8343 0.3314
0.0000 0.0000 0.0000
0.3562 0.3562 0.2876
0.6438 0.6438 0.7124
```

Output
Its electronic total energy is -27.60 eV for the cell shown. For the density of states at the Fermi level, the calculation gives 5.44 states/eV/f.u. The calculated density comes out at 4.58 g/cm3. The calculation puts the total magnetic moment at 0.0 μB/f.u. As for the crystal system: tetragonal.


Record 11
A plane-wave DFT calculation with PBE was carried out for a geometry-optimized Ta2ZnW structure.

Geometry as POSCAR:
```
Ta2ZnW
1.0
-0.9472 -0.2067 4.3337
4.3364 0.0850 0.9518
-0.0971 3.3822 0.1401
Zn Ta W
1 2 1
Direct
0.0000 0.5000 0.5000
0.5000 0.5000 0.0000
0.0000 0.0000 0.0000
0.5000 0.0000 0.5000
```

Output
For the density of states at the Fermi level, the calculation gives 1.41 states/eV/f.u. The value obtained for the formation energy is 0.01 eV per atom. The calculated density comes out at 15.20 g/cm3. The calculation puts the total magnetic moment at 0.0 μB/f.u. As for the crystal system: tetragonal.


Record 12
A plane-wave DFT calculation with PBE was carried out for a geometry-optimized B2AsSe structure.

Geometry as POSCAR:
```
B2AsSe
1.0
0.0000 2.9632 2.9632
2.9632 0.0000 2.9632
2.9632 2.9632 0.0000
As Se B
1 1 2
Direct
0.0000 0.0000 0.0000
0.5000 0.5000 0.5000
0.7500 0.7500 0.7500
0.2500 0.2500 0.2500
```

Output
Its electronic total energy is -14.93 eV for the cell shown. For the density of states at the Fermi level, the calculation gives 1.72 states/eV/f.u. The calculated density comes out at 5.60 g/cm3. The calculation puts the total magnetic moment at 0.0 μB/f.u. As for the crystal system: cubic.


> Number 3 is which compound?

SrMoPd


> Among the records above, which one has the highest total magnetic moment?

In2ReRuW